1.
## HPdPbN2 (PBE)

Data for HPdPbN2 after structural relaxation.

a b c (Å): 4.237 3.278 4.237
angles (deg): 90.00 90.00 90.00
Atoms (fractional coordinates):
N 0.000 0.000 0.500
N 0.500 0.000 0.000
H 0.000 0.000 0.000
Pb 0.500 0.500 0.500
Pd 0.000 0.500 0.000

2.
## BaMgCu2P (PBE)

Data for BaMgCu2P after structural relaxation.

a b c (Å): 4.606 6.130 4.606
angles (deg): 90.00 90.00 90.00
Atoms (fractional coordinates):
Mg 0.500 0.500 0.500
Cu 0.000 0.000 0.500
Cu 0.500 0.000 0.000
Ba 0.000 0.500 0.000
P 0.000 0.000 0.000

Properties
Formation energy (meV per atom): 154

3.
## TbMgScCd (PBE)

Data for TbMgScCd after structural relaxation.

a b c (Å): 5.190 5.190 5.190
angles (deg): 60.00 60.00 60.00
Atoms (fractional coordinates):
Cd 0.750 0.750 0.750
Tb 0.500 0.500 0.500
Sc 0.000 0.000 0.000
Mg 0.250 0.250 0.250

Properties
Formation energy (meV per atom): -181

4.
## TiH2I4 (PBE)

Data for TiH2I4 after structural relaxation.

a b c (Å): 4.188 7.462 8.296
angles (deg): 123.34 89.22 90.78
Atoms (fractional coordinates):
I 0.648 0.950 0.827
I 0.146 0.435 0.343
I 0.636 0.959 0.290
I 0.137 0.522 0.856
H 0.141 0.472 0.622
H 0.149 0.156 0.986
Ti 0.143 0.006 0.077

5.
## KInPb (PBE)

Data for KInPb after structural relaxation.

a b c (Å): 6.953 6.742 9.291
angles (deg): 90.00 90.00 90.00
Atoms (fractional coordinates):
In 0.867 0.500 0.184
In 0.867 0.000 0.585
In 0.133 0.500 0.684
In 0.133 0.000 0.085
K 0.370 0.500 0.033
K 0.630 0.500 0.533
K 0.370 0.000 0.736
K 0.630 0.000 0.236
Pb 0.158 0.250 0.385
Pb 0.842 0.750 0.885
Pb 0.158 0.750 0.385
Pb 0.842 0.250 0.885

Properties
Formation energy (meV per atom): -108

6.
## Hg2Sb (PBE)

Data for Hg2Sb after structural relaxation.

a b c (Å): 5.485 5.485 6.050
angles (deg): 90.00 90.00 120.00
Atoms (fractional coordinates):
Sb 0.667 0.333 0.250
Sb 0.333 0.667 0.750
Hg 0.667 0.333 0.750
Hg 0.000 0.000 0.500
Hg 0.000 0.000 0.000
Hg 0.333 0.667 0.250

Properties
Distance to the lowest polymorph of the same formula (eV per atom): 0.091

7.
## Cd2Ag2Hg (PBE)

Data for Cd2Ag2Hg after structural relaxation.

a b c (Å): 3.957 3.957 7.768
angles (deg): 75.24 75.24 90.00
Atoms (fractional coordinates):
Ag 0.250 0.750 0.500
Ag 0.750 0.250 0.500
Cd 0.601 0.601 0.798
Cd 0.399 0.399 0.202
Hg 0.000 0.000 0.000

Properties
Formation energy (meV per atom): 68
Distance to the lowest polymorph of the same formula (eV per atom): 0.066

8.
## LiInSe3 (PBE)

Data for LiInSe3 after structural relaxation.

a b c (Å): 5.338 5.338 5.338
angles (deg): 90.00 90.00 90.00
Atoms (fractional coordinates):
In 0.000 0.000 0.000
Se 0.000 0.500 0.000
Se 0.000 0.000 0.500
Se 0.500 0.000 0.000
Li 0.500 0.500 0.500

Properties
Distance to the lowest polymorph of the same formula (eV per atom): 0.000

| no. | uncorrected energy (Ry per atom) | total moment (μB/f.u.) |
| --- | --- | --- |
| 1 | -0.3168 | 0.0 |
| 2 | -0.2404 | 0.0 |
| 3 | -0.2608 | 0.0 |
| 4 | -0.2413 | 0.0 |
| 5 | -0.1927 | 0.0 |
| 6 | -0.1020 | 0.0 |
| 7 | -0.1102 | 0.0 |
| 8 | -0.2214 | 0.0 |